A relaxed MnPbF3 crystal. Source: the Alexandria database, functional PBE with a Hubbard U.

ΔE to the lowest computed polymorph = 0.017 eV/atom

Unit cell a=4.318 b=4.318 c=4.318 alpha=90.00 beta=90.00 gamma=90.00
Space group Pm-3m (No. 221)
Unique sites:
Mn  0.000  0.000  0.000 x1
Pb  0.500  0.500  0.500 x1
F  0.000  0.000  0.500 x3